1.
LaPmPrTm3 (PBE-GGA, relaxed); symmetry = Cmcm (63); raw total energy = -54.5 eV per cell; N(E_F) = 23.3 states/eV/cell; density = 7.76 g cm⁻³; ΔE_f = 107 meV per atom
1.0
2.941 -5.758 0.000
2.941 5.758 0.000
0.000 0.000 11.776
La Pm Pr Tm
2 2 2 6
Direct
0.009 0.991 0.750
0.991 0.009 0.250
0.322 0.678 0.750
0.678 0.322 0.250
0.500 0.500 0.000
0.500 0.500 0.500
0.174 0.826 0.007
0.174 0.826 0.493
0.331 0.669 0.250
0.669 0.331 0.750
0.826 0.174 0.507
0.826 0.174 0.993

2.
ErPuPa2P4 (PBE-GGA, relaxed); symmetry = P2/m (10); raw total energy = -70.4 eV per cell; N(E_F) = 11.5 states/eV/cell; density = 9.34 g cm⁻³; ΔE_f = -1360 meV per atom
1.0
6.863 0.000 0.000
0.000 3.979 0.000
-2.308 0.000 6.492
Er Pu Pa P
1 1 2 4
Direct
0.000 0.000 0.000
0.000 0.500 0.500
0.500 0.000 0.500
0.500 0.500 0.000
0.251 0.000 0.751
0.252 0.500 0.250
0.748 0.500 0.750
0.749 0.000 0.249

3.
Hf2ZrAg (PBE-GGA, relaxed); symmetry = P4/nmm (129); raw total energy = -62.5 eV per cell; N(E_F) = 8.7 states/eV/cell; density = 10.81 g cm⁻³; offset from the most stable computed form = 0.046 eV/atom; ΔE_f = 9 meV per atom
1.0
3.267 0.000 0.000
0.000 3.267 0.000
0.000 0.000 16.011
Hf Zr Ag
4 2 2
Direct
0.250 0.250 0.065
0.250 0.250 0.334
0.750 0.750 0.666
0.750 0.750 0.935
0.250 0.250 0.797
0.750 0.750 0.203
0.250 0.250 0.553
0.750 0.750 0.447

4.
Ta2Te4MoSe2 (PBE-GGA, relaxed); symmetry = P3m1 (156); raw total energy = -57.5 eV per cell; ΔE_f (raw) = -3.46 eV per formula unit; N(E_F) = 8.2 states/eV/cell; density = 7.65 g cm⁻³
1.0
3.556 0.000 0.000
-1.778 3.080 0.000
0.000 0.000 22.319
Ta Te Mo Se
2 4 1 2
Direct
0.000 0.000 0.000
0.333 0.667 0.329
0.000 0.000 0.245
0.000 0.000 0.415
0.333 0.667 0.085
0.333 0.667 0.915
0.333 0.667 0.681
0.000 0.000 0.609
0.000 0.000 0.752

5.
AcZr2H (PBE-GGA, relaxed); symmetry = R-3m (166); raw total energy = -23.7 eV per cell; N(E_F) = 4.5 states/eV/cell; density = 7.67 g cm⁻³
1.0
1.691 0.976 8.965
-1.691 0.976 8.965
0.000 -1.953 8.965
Ac Zr H
1 2 1
Direct
0.000 0.000 0.000
0.121 0.121 0.121
0.879 0.879 0.879
0.500 0.500 0.500

6.
KMg2GaPb2 (PBE-GGA, relaxed); symmetry = Pnnm (58); raw total energy = -28.6 eV per cell; N(E_F) = 1.8 states/eV/cell; density = 5.03 g cm⁻³; ΔE_f = 68 meV per atom
1.0
8.027 0.000 0.000
0.000 8.586 0.000
0.000 0.000 5.475
K Mg Ga Pb
2 4 2 4
Direct
0.000 0.000 0.000
0.500 0.500 0.500
0.174 0.191 0.500
0.326 0.691 0.000
0.674 0.309 0.000
0.826 0.809 0.500
0.000 0.500 0.000
0.500 0.000 0.500
0.220 0.815 0.500
0.280 0.315 0.000
0.720 0.685 0.000
0.780 0.185 0.500

7.
Ce3Cu4Ge4 (PBE-GGA, relaxed); symmetry = C2/m (12); raw total energy = -58.7 eV per cell; N(E_F) = 13.7 states/eV/cell; density = 7.78 g cm⁻³; ΔE_f = -552 meV per atom
1.0
7.829 -2.180 0.000
7.829 2.180 0.000
-2.840 0.000 6.035
Ce Cu Ge
3 4 4
Direct
0.000 0.000 0.000
0.132 0.132 0.632
0.868 0.868 0.368
0.333 0.333 0.021
0.334 0.334 0.646
0.666 0.666 0.354
0.667 0.667 0.979
0.216 0.216 0.217
0.500 0.500 0.310
0.500 0.500 0.690
0.784 0.784 0.783

8.
Cr2WSe (PBE-GGA, relaxed); symmetry = I-42d (122); raw total energy = -65.1 eV per cell; ΔE_f (raw) = 3.12 eV per formula unit; N(E_F) = 7.8 states/eV/cell; density = 9.74 g cm⁻³
1.0
-3.403 3.403 2.699
3.403 -3.403 2.699
3.403 3.403 -2.699
Cr W Se
4 2 2
Direct
0.113 0.125 0.488
0.375 0.887 0.012
0.637 0.625 0.512
0.875 0.363 0.988
0.250 0.750 0.500
0.500 0.500 0.000
0.000 0.000 0.000
0.750 0.250 0.500

9.
KBeAu2 (PBE-GGA, relaxed); symmetry = I4_1/amd (141); raw total energy = -23.5 eV per cell; N(E_F) = 3.2 states/eV/cell; density = 6.65 g cm⁻³; ΔE_f = -93 meV per atom
1.0
-2.713 2.713 7.495
2.713 -2.713 7.495
2.713 2.713 -7.495
K Be Au
2 2 4
Direct
0.375 0.625 0.750
0.625 0.375 0.250
0.125 0.875 0.250
0.875 0.125 0.750
0.000 0.000 0.000
0.000 0.000 0.500
0.000 0.500 0.000
0.500 0.000 0.500

10.
Y2CuP2 (PBE-GGA, relaxed); symmetry = P4/mbm (127); raw total energy = -65.1 eV per cell; N(E_F) = 7.9 states/eV/cell; density = 5.07 g cm⁻³; ΔE_f = -944 meV per atom
1.0
7.223 0.000 0.000
0.000 7.223 0.000
0.000 0.000 3.804
Y Cu P
4 2 4
Direct
0.158 0.342 0.000
0.342 0.842 0.000
0.658 0.158 0.000
0.842 0.658 0.000
0.000 0.000 0.500
0.500 0.500 0.500
0.156 0.656 0.500
0.344 0.156 0.500
0.656 0.844 0.500
0.844 0.344 0.500

11.
SmSc2Cu3 (PBE-GGA, relaxed); symmetry = P4/mmm (123); raw total energy = -31.1 eV per cell; N(E_F) = 3.1 states/eV/cell; density = 6.34 g cm⁻³; ΔE_f = -235 meV per atom
1.0
3.326 0.000 0.000
0.000 3.326 0.000
0.000 0.000 10.196
Sm Sc Cu
1 2 3
Direct
0.000 0.000 0.000
0.000 0.000 0.343
0.000 0.000 0.657
0.500 0.500 0.197
0.500 0.500 0.500
0.500 0.500 0.803

12.
Li3Np3CoS8 (PBE-GGA, relaxed); symmetry = R-3m (166); raw total energy = -101.8 eV per cell; ΔE_f (raw) = -17.11 eV per formula unit; N(E_F) = 25.8 states/eV/cell; density = 5.71 g cm⁻³
1.0
3.769 2.176 6.193
-3.769 2.176 6.193
0.000 -4.352 6.193
Li Np Co S
3 3 1 8
Direct
0.000 0.500 0.500
0.500 0.000 0.500
0.500 0.500 0.000
0.000 0.000 0.500
0.000 0.500 0.000
0.500 0.000 0.000
0.500 0.500 0.500
0.254 0.254 0.254
0.272 0.272 0.726
0.272 0.726 0.272
0.274 0.728 0.728
0.726 0.272 0.272
0.728 0.274 0.728
0.728 0.728 0.274
0.746 0.746 0.746

13.
TaBiBrCl2 (PBE-GGA, relaxed); symmetry = P4/mmm (123); raw total energy = -20.9 eV per cell; ΔE_f (raw) = 0.18 eV per formula unit; N(E_F) = 4.9 states/eV/cell; density = 6.84 g cm⁻³
1.0
4.792 0.000 0.000
0.000 4.792 0.000
0.000 0.000 5.717
Ta Bi Br Cl
1 1 1 2
Direct
0.000 0.000 0.000
0.500 0.500 0.500
0.000 0.000 0.500
0.000 0.500 0.000
0.500 0.000 0.000

14.
Na2Np3Te6 (PBE-GGA, relaxed); symmetry = C2/m (12); raw total energy = -68.6 eV per cell; ΔE_f (raw) = -8.33 eV per formula unit; N(E_F) = 26.5 states/eV/cell; density = 6.57 g cm⁻³
1.0
3.842 -6.653 0.000
3.842 6.653 0.000
-2.559 0.000 7.535
Na Np Te
2 3 6
Direct
0.167 0.833 0.000
0.833 0.167 0.000
0.000 0.000 0.500
0.333 0.667 0.500
0.667 0.333 0.500
0.079 0.410 0.732
0.258 0.258 0.269
0.410 0.079 0.732
0.590 0.921 0.268
0.742 0.742 0.731
0.921 0.590 0.268

15.
MnMo3As (PBE-GGA, relaxed); symmetry = Pm-3m (221); raw total energy = -38.5 eV per cell; N(E_F) = 9.0 states/eV/cell; density = 7.39 g cm⁻³; offset from the most stable computed form = 0.419 eV/atom; ΔE_f = 1572 meV per atom
1.0
4.545 0.000 0.000
0.000 4.545 0.000
0.000 0.000 4.545
Mn Mo As
1 3 1
Direct
0.000 0.000 0.000
0.000 0.500 0.500
0.500 0.000 0.500
0.500 0.500 0.000
0.500 0.500 0.500

16.
NaSrGe (PBE-GGA, relaxed); symmetry = P-6m2 (187); raw total energy = -8.3 eV per cell; N(E_F) = 2.3 states/eV/cell; density = 3.50 g cm⁻³; ΔE_f = -225 meV per atom
1.0
5.129 0.000 0.000
-2.564 4.442 0.000
0.000 0.000 3.817
Na Sr Ge
1 1 1
Direct
0.000 0.000 0.000
0.667 0.333 0.500
0.333 0.667 0.000

17.
Tb2TeAu (PBE-GGA, relaxed); symmetry = R3m (160); raw total energy = -19.8 eV per cell; ΔE_f (raw) = -4.10 eV per formula unit; N(E_F) = 3.6 states/eV/cell; density = 9.36 g cm⁻³; offset from the most stable computed form = 0.064 eV/atom
1.0
2.083 1.203 7.583
-2.083 1.203 7.583
0.000 -2.406 7.583
Tb Te Au
2 1 1
Direct
0.000 0.000 0.000
0.183 0.183 0.183
0.759 0.759 0.759
0.590 0.590 0.590

18.
AlReW (PBE-GGA, relaxed); symmetry = Pmma (51); raw total energy = -55.4 eV per cell; N(E_F) = 6.2 states/eV/cell; density = 11.89 g cm⁻³; offset from the most stable computed form = 0.637 eV/atom; ΔE_f = 483 meV per atom
1.0
5.832 0.000 0.000
0.000 2.971 0.000
0.000 0.000 6.400
Al Re W
2 2 2
Direct
0.000 0.000 0.000
0.500 0.000 0.000
0.250 0.500 0.250
0.750 0.500 0.750
0.000 0.000 0.500
0.500 0.000 0.500

19.
Y12Zn6In (PBE-GGA, relaxed); symmetry = Im-3 (204); raw total energy = -92.5 eV per cell; N(E_F) = 15.0 states/eV/cell; density = 5.15 g cm⁻³; ΔE_f = -242 meV per atom
1.0
-5.027 5.027 5.027
5.027 -5.027 5.027
5.027 5.027 -5.027
Y Zn In
12 6 1
Direct
0.099 0.290 0.809
0.191 0.482 0.290
0.191 0.901 0.710
0.290 0.191 0.482
0.290 0.809 0.099
0.482 0.290 0.191
0.518 0.710 0.809
0.710 0.191 0.901
0.710 0.809 0.518
0.809 0.099 0.290
0.809 0.518 0.710
0.901 0.710 0.191
0.123 0.500 0.623
0.377 0.877 0.500
0.500 0.377 0.877
0.500 0.623 0.123
0.623 0.123 0.500
0.877 0.500 0.377
0.000 0.000 0.000